Density functional theory data (PBE) for ZrTcOs3 after structural relaxation.

Unit cell a=4.7102 b=4.7102 c=4.7102 alpha=90.00 beta=90.00 gamma=90.00
Closest atoms and distances in Å follow each position.
Sites, in units of the cell vectors:
Os1 0.0000 0.5000 0.0000  2 Zr 2.36
Os2 0.0000 0.0000 0.5000  2 Zr 2.36
Os3 0.5000 0.0000 0.0000  2 Zr 2.36
Tc1 0.5000 0.5000 0.5000  12 Os 3.33
Zr1 0.0000 0.0000 0.0000  6 Os 2.36

Values from the calculation:
formation energy = 13.93 eV/f.u.
mass density = 12.1 g cm⁻³
magnetization = 0.00 μB per atom
E above lowest polymorph = 1.252 eV/atom
E_tot = -7.74 eV/atom